(1)
Compound: Sr2TaN3
Source: Alexandria
Functional: GGA-PBE
Structure: relaxed

```
Sr2TaN3
1.0
5.767 -0.315 -0.224
0.353 6.053 0.129
0.353 2.099 5.679
Sr Ta N
4 2 6
Cartesian
4.554 1.862 2.621
1.671 3.243 1.016
4.802 4.594 4.567
1.919 5.975 2.962
4.678 5.452 0.473
1.795 2.385 5.111
1.795 3.484 3.568
4.678 4.353 2.015
0.610 7.015 4.995
2.980 0.983 0.697
3.493 6.854 4.886
5.864 0.823 0.589
```

Output
- Energy relative to the lowest polymorph listed for this composition: 58.4 meV per atom
- Space-group type: C2/c (15)
- Final energy: -7.7889 eV per atom
- Total moment: 0.000 μB per formula unit
- Formation energy without anion corrections: -6.541 eV/f.u.

=====

(2)
Compound: Re2Se2S
Source: Alexandria
Functional: GGA-PBE
Structure: relaxed

```
Re2Se2S
1.0
2.996 0.000 0.950
1.035 5.889 1.933
-0.455 1.437 6.633
Re Se S
2 2 1
Cartesian
0.865 4.838 7.669
2.730 2.903 6.985
2.130 6.720 8.877
2.448 1.946 2.677
1.550 4.275 5.508
```

Output
- N(E_F): 3.81 states/eV per cell
- Energy relative to the lowest polymorph listed for this composition: 0.0 meV per atom
- Space-group type: Cm (8)
- Final energy: -7.1246 eV per atom
- Total moment: 0.000 μB per formula unit
- Formation energy without anion corrections: 0.370 eV/f.u.

=====

(3)
Compound: Rb2YSi
Source: Alexandria
Functional: GGA-PBE
Structure: relaxed

```
Rb2YSi
1.0
-1.241 0.028 3.727
0.940 -4.162 0.345
41.474 10.486 13.542
Y Si Rb
4 4 8
Cartesian
28.392 7.419 12.178
8.125 0.095 5.580
26.366 6.735 9.438
6.099 -0.589 2.839
7.704 2.017 3.354
28.910 5.179 10.297
5.580 1.651 4.720
26.787 4.813 11.663
35.458 9.209 14.522
15.191 1.885 7.923
11.332 2.936 4.558
32.538 6.098 11.501
1.950 0.732 3.522
23.157 3.894 10.465
19.278 4.945 7.156
40.484 8.107 14.099
```

Output
- N(E_F): 11.11 states/eV per cell
- Space-group type: Cm (8)
- Final energy: -3.6359 eV per atom
- Total moment: 0.000 μB per formula unit
- Formation energy without anion corrections: -0.721 eV/f.u.

=====

(4)
Compound: PmBe2SiRh
Source: Alexandria
Functional: GGA-PBE
Structure: relaxed

```
PmBe2SiRh
1.0
-1.786 3.493 0.710
-2.586 -0.747 -2.827
-0.792 -3.566 4.362
Pm Be Si Rh
1 2 1 1
Cartesian
-2.637 -1.942 2.925
-2.044 0.899 1.632
-0.401 -0.296 0.445
-4.099 -0.036 1.064
-2.409 -1.195 -0.176
```

Output
- N(E_F): 3.58 states/eV per cell
- Space-group type: Imm2 (44)
- Final energy: -5.4992 eV per atom
- Total moment: 0.000 μB per formula unit
- Formation energy without anion corrections: -2.519 eV/f.u.